No. 1
This record from Alexandria via LeMat-Bulk describes a geometry-optimized Ti2Si structure. The functional is PBE-GGA.

Cell: 3.299 3.299 4.843 Å, 109.91 109.91 90.02°
Fractional coordinates of all 3 atoms:
Si  0.500  0.500  0.000
Ti  0.160  0.160  0.321
Ti  0.840  0.840  0.679

raw formation energy = -1.5 eV/f.u.

***

No. 2
This record from Alexandria via LeMat-Bulk describes a geometry-optimized Sr2AcY structure. The functional is PBE-GGA.

Cell: 3.851 3.851 14.114 Å, 82.16 82.16 60.00°
Site moments in Bohr magnetons follow the coordinates.
Fractional coordinates of all 4 atoms:
Y  0.000  0.000  0.000  0.24
Sr  0.085  0.085  0.745  0.01
Sr  0.915  0.915  0.255  0.01
Ac  0.500  0.500  0.500  -0.01

energy of formation from the pure elements = 116 kJ/mol of formula units

***

No. 3
This record from Alexandria via LeMat-Bulk describes a geometry-optimized BaNaS2N structure. The functional is PBE-GGA.

Cell: 5.962 5.962 5.331 Å, 90.00 90.00 90.00°
Site moments in Bohr magnetons follow the coordinates.
Fractional coordinates of all 5 atoms:
Na  0.500  0.500  0.500  0.00
S  0.000  0.500  0.000  0.50
S  0.500  0.000  0.000  0.50
Ba  0.000  0.000  0.000  0.06
N  0.000  0.000  0.500  1.49

raw formation energy = 2.1 eV/f.u.
offset from the most stable computed form = 326 meV/atom

***

No. 4
This record from Alexandria via LeMat-Bulk describes a geometry-optimized AlCr2 structure. The functional is PBE-GGA.

Cell: 4.392 4.392 2.940 Å, 90.00 90.00 90.00°
Site moments in Bohr magnetons follow the coordinates.
Fractional coordinates of all 3 atoms:
Cr  0.000  0.500  0.500  3.41
Cr  0.500  0.000  0.500  3.41
Al  0.000  0.000  0.000  -0.10

energy of formation from the pure elements = 253 kJ/mol of formula units

***

No. 5
This record from Alexandria via LeMat-Bulk describes a geometry-optimized CsAsP2Se8 structure. The functional is PBE-GGA.

Cell: 6.247 6.247 11.669 Å, 74.47 74.47 60.00°
Fractional coordinates of all 12 atoms:
Cs  0.500  0.500  0.500
As  0.000  0.000  0.000
P  0.265  0.265  0.204
P  0.735  0.735  0.796
Se  0.200  0.200  0.399
Se  0.627  0.293  0.151
Se  0.800  0.800  0.601
Se  0.929  0.627  0.151
Se  0.071  0.373  0.849
Se  0.293  0.929  0.151
Se  0.707  0.071  0.849
Se  0.373  0.707  0.849

raw formation energy = -1.6 eV/f.u.

***

No. 6
This record from Alexandria via LeMat-Bulk describes a geometry-optimized InMo structure. The functional is PBE-GGA.

Cell: 4.769 4.769 8.028 Å, 90.00 90.00 120.00°
Fractional coordinates of all 8 atoms:
In  0.000  0.000  0.250
In  0.000  0.000  0.750
In  0.333  0.667  0.750
In  0.667  0.333  0.250
Mo  0.333  0.667  0.091
Mo  0.667  0.333  0.591
Mo  0.667  0.333  0.909
Mo  0.333  0.667  0.409

energy of formation from the pure elements = 139 kJ/mol of formula units
offset from the most stable computed form = 506 meV/atom

***

no.,DFT total energy (eV/atom),size of the total moment (μB/atom)
1,-7.5718,0.00
2,-3.1840,0.16
3,-3.5513,0.81
4,-6.7879,2.49
5,-3.8137,0.00
6,-6.0646,0.00